LiSn2Pt: relaxed, PBE.

abc: 3.4848 3.4848 27.8055
angles: 90.00 90.00 120.00
Fractional coordinates of all 12 atoms:
Li1 0.0000 0.0000 0.0000
Li2 0.3333 0.6667 0.6667
Li3 0.6667 0.3333 0.3333
Sn1 0.0000 0.0000 0.0989
Sn2 0.0000 0.0000 0.9011
Sn3 0.3333 0.6667 0.5678
Sn4 0.3333 0.6667 0.7656
Sn5 0.6667 0.3333 0.2344
Sn6 0.6667 0.3333 0.4322
Pt1 0.0000 0.0000 0.5000
Pt2 0.3333 0.6667 0.1667
Pt3 0.6667 0.3333 0.8333

- E_form (eV/atom) = -0.211
- calculated volume (Å³/f.u.) = 97

TaCuBr4: relaxed, PBE.

abc: 6.0302 6.0302 6.0302
angles: 60.00 60.00 60.00
Fractional coordinates of all 6 atoms:
Ta1 0.0000 0.0000 0.0000
Cu1 0.2500 0.2500 0.2500
Br1 0.1237 0.6254 0.6254
Br2 0.6254 0.1237 0.6254
Br3 0.6254 0.6254 0.1237
Br4 0.6254 0.6254 0.6254

- calculated volume (Å³/f.u.) = 155
- formation energy from raw total energies (eV/atom) = 1.461

La2ZrTlH: relaxed, PBE.

abc: 4.9389 4.9389 4.8448
angles: 90.00 90.00 90.00
Fractional coordinates of all 5 atoms:
La1 0.0000 0.5000 0.0000
La2 0.5000 0.0000 0.0000
Zr1 0.0000 0.0000 0.5000
Tl1 0.5000 0.5000 0.5000
H1 0.0000 0.0000 0.0000

- calculated volume (Å³/f.u.) = 118
- DFT total energy (eV/atom) = -5.024

Y2Al7Au12: relaxed, PBE.

abc: 10.3105 10.3105 4.2616
angles: 90.00 90.00 120.00
Fractional coordinates of all 21 atoms:
Y1 0.0000 0.0000 0.0000
Y2 0.3333 0.6667 0.5000
Al1 0.0332 0.4629 0.0000
Al2 0.2672 0.2567 0.5000
Al3 0.4297 0.9668 0.0000
Al4 0.5371 0.5703 0.0000
Al5 0.6667 0.3333 0.0000
Al6 0.7433 0.0105 0.5000
Al7 0.9895 0.7328 0.5000
Au1 0.0192 0.2483 0.5000
Au2 0.1593 0.7527 0.0000
Au3 0.2292 0.9808 0.5000
Au4 0.2473 0.4066 0.0000
Au5 0.3740 0.1992 0.0000
Au6 0.5627 0.4363 0.5000
Au7 0.5637 0.1264 0.5000
Au8 0.5934 0.8407 0.0000
Au9 0.7517 0.7708 0.5000
Au10 0.8008 0.1748 0.0000
Au11 0.8252 0.6260 0.0000
Au12 0.8736 0.4373 0.5000

- E_form (eV/atom) = -0.502
- calculated volume (Å³/f.u.) = 392